Entry 1:
! CrPt4 meta-GGA SCAN single point on PBEsol structure; values from VASP
&SYSTEM
  ibrav = 0, nat = 5, ntyp = 2
/
ATOMIC_SPECIES
Cr 52.00 Cr.upf
Pt 195.08 Pt.upf
ATOMIC_POSITIONS crystal
Cr 0.000 0.000 0.000
Pt 0.750 0.250 0.500
Pt 0.404 0.404 0.808
Pt 0.596 0.596 0.192
Pt 0.250 0.750 0.500
CELL_PARAMETERS angstrom
3.598 0.000 0.000
0.000 3.598 0.000
-1.799 -1.799 6.456
! Formation energy from the elements: 99 meV per atom
! VASP energy: -59.733 eV per atom
! Density of states at the Fermi level: 1.07 states/eV/atom
! Space-group type: I4/mmm
! Distance to the lowest polymorph of the same formula: 330 meV per atom

=====

Entry 2:
! Cr5Pt meta-GGA SCAN single point on PBEsol structure; values from VASP
&SYSTEM
  ibrav = 0, nat = 6, ntyp = 2
/
ATOMIC_SPECIES
Cr 52.00 Cr.upf
Pt 195.08 Pt.upf
ATOMIC_POSITIONS crystal
Cr 0.000 0.347 0.347
Cr 0.000 0.653 0.000
Cr 0.000 0.000 0.653
Cr 0.500 0.333 0.667
Cr 0.500 0.667 0.333
Pt 0.500 0.000 0.000
CELL_PARAMETERS angstrom
4.103 0.000 0.000
0.000 4.495 0.000
0.000 -2.247 3.892
! Formation energy from the elements: 225 meV per atom
! VASP energy: -26.795 eV per atom
! Density of states at the Fermi level: 1.42 states/eV/atom
! Space-group type: P-62m

=====

Entry 3:
! CrPt4 meta-GGA SCAN single point on PBEsol structure; values from VASP
&SYSTEM
  ibrav = 0, nat = 5, ntyp = 2
/
ATOMIC_SPECIES
Cr 52.00 Cr.upf
Pt 195.08 Pt.upf
ATOMIC_POSITIONS crystal
Cr 0.000 0.000 0.000
Pt 0.795 0.602 0.807
Pt 0.205 0.398 0.193
Pt 0.602 0.193 0.602
Pt 0.398 0.807 0.398
CELL_PARAMETERS angstrom
3.836 0.000 0.000
1.918 4.318 0.000
1.918 0.000 4.318
! Formation energy from the elements: -232 meV per atom
! VASP energy: -60.063 eV per atom
! Density of states at the Fermi level: 1.27 states/eV/atom
! Space-group type: I4/m
! Distance to the lowest polymorph of the same formula: 0 meV per atom

=====

Entry 4:
! CrPt3 meta-GGA SCAN single point on PBEsol structure; values from VASP
&SYSTEM
  ibrav = 0, nat = 4, ntyp = 2
/
ATOMIC_SPECIES
Cr 52.00 Cr.upf
Pt 195.08 Pt.upf
ATOMIC_POSITIONS crystal
Cr 0.000 0.000 0.000
Pt 0.500 0.000 0.500
Pt 0.500 0.500 0.000
Pt 0.000 0.500 0.500
CELL_PARAMETERS angstrom
2.816 0.000 0.000
0.000 4.670 -0.005
0.000 -1.501 4.422
! Formation energy from the elements: -288 meV per atom
! VASP energy: -57.528 eV per atom
! Density of states at the Fermi level: 1.08 states/eV/atom
! Space-group type: Cmmm

=====

Entry 5:
! CrPt meta-GGA SCAN single point on PBEsol structure; values from VASP
&SYSTEM
  ibrav = 0, nat = 2, ntyp = 2
/
ATOMIC_SPECIES
Cr 52.00 Cr.upf
Pt 195.08 Pt.upf
ATOMIC_POSITIONS crystal
Cr 0.000 0.000 0.000
Pt 0.500 0.500 0.500
CELL_PARAMETERS angstrom
-1.913 -1.760 -0.388
1.792 -1.918 -0.137
-0.276 -0.527 3.753
! Formation energy from the elements: -300 meV per atom
! VASP energy: -44.589 eV per atom
! Density of states at the Fermi level: 0.89 states/eV/atom
! Space-group type: P4/mmm

=====

Entry 6:
! RbCr2TcPt meta-GGA SCAN single point on PBEsol structure; values from VASP
&SYSTEM
  ibrav = 0, nat = 5, ntyp = 4
/
ATOMIC_SPECIES
Cr 52.00 Cr.upf
Rb 85.47 Rb.upf
Tc 98.00 Tc.upf
Pt 195.08 Pt.upf
ATOMIC_POSITIONS crystal
Cr 0.000 0.500 0.000
Cr 0.500 0.000 0.000
Rb 0.000 0.000 0.000
Tc 0.000 0.000 0.500
Pt 0.500 0.500 0.500
CELL_PARAMETERS angstrom
-2.130 0.779 3.772
-3.232 -2.705 -1.266
2.166 -3.498 1.945
! Formation energy from the elements: 2812 meV per atom
! VASP energy: -29.740 eV per atom
! Density of states at the Fermi level: 1.05 states/eV/atom
! Space-group type: P4/mmm

=====

Entry 7:
! CrRe2Pt meta-GGA SCAN single point on PBEsol structure; values from VASP
&SYSTEM
  ibrav = 0, nat = 4, ntyp = 3
/
ATOMIC_SPECIES
Cr 52.00 Cr.upf
Pt 195.08 Pt.upf
Re 186.21 Re.upf
ATOMIC_POSITIONS crystal
Cr 0.500 0.500 0.500
Pt 0.250 0.250 0.250
Re 0.000 0.000 0.000
Re 0.750 0.750 0.750
CELL_PARAMETERS angstrom
4.325 0.000 0.000
2.163 3.746 0.000
2.163 1.249 3.532
! Formation energy from the elements: 111 meV per atom
! VASP energy: -57.582 eV per atom
! Density of states at the Fermi level: 0.94 states/eV/atom
! Space-group type: F-43m

=====

Entry 8:
! Cr4RePt meta-GGA SCAN single point on PBEsol structure; values from VASP
&SYSTEM
  ibrav = 0, nat = 6, ntyp = 3
/
ATOMIC_SPECIES
Re 186.21 Re.upf
Pt 195.08 Pt.upf
Cr 52.00 Cr.upf
ATOMIC_POSITIONS crystal
Re 0.000 0.000 0.000
Pt 0.750 0.750 0.750
Cr 0.375 0.375 0.375
Cr 0.375 0.375 0.876
Cr 0.876 0.375 0.375
Cr 0.375 0.876 0.375
CELL_PARAMETERS angstrom
4.694 0.000 0.000
2.347 4.066 0.000
2.347 1.355 3.833
! Formation energy from the elements: -93 meV per atom
! VASP energy: -35.898 eV per atom
! Density of states at the Fermi level: 0.77 states/eV/atom
! Space-group type: F-43m

=====

Entry 9:
! CrRePt2 meta-GGA SCAN single point on PBEsol structure; values from VASP
&SYSTEM
  ibrav = 0, nat = 4, ntyp = 3
/
ATOMIC_SPECIES
Cr 52.00 Cr.upf
Pt 195.08 Pt.upf
Re 186.21 Re.upf
ATOMIC_POSITIONS crystal
Cr 0.250 0.250 0.250
Pt 0.994 0.994 0.017
Pt 0.752 0.752 0.745
Re 0.504 0.504 0.488
CELL_PARAMETERS angstrom
-1.923 -1.810 0.592
0.210 -2.542 -0.904
3.811 -3.704 7.247
! Formation energy from the elements: -26 meV per atom
! VASP energy: -57.493 eV per atom
! Density of states at the Fermi level: 1.00 states/eV/atom
! Space-group type: R3m

=====

Entry 10:
! CrPt2Rh meta-GGA SCAN single point on PBEsol structure; values from VASP
&SYSTEM
  ibrav = 0, nat = 4, ntyp = 3
/
ATOMIC_SPECIES
Cr 52.00 Cr.upf
Rh 102.91 Rh.upf
Pt 195.08 Pt.upf
ATOMIC_POSITIONS crystal
Cr 0.500 0.500 0.742
Rh 0.000 0.000 0.523
Pt 0.000 0.000 0.979
Pt 0.500 0.500 0.256
CELL_PARAMETERS angstrom
2.681 0.000 0.000
0.000 2.681 0.000
0.000 0.000 7.609
! Formation energy from the elements: -183 meV per atom
! VASP energy: -48.318 eV per atom
! Density of states at the Fermi level: 0.67 states/eV/atom
! Space-group type: P4mm

=====

Entry 11:
! CrPtRh meta-GGA SCAN single point on PBEsol structure; values from VASP
&SYSTEM
  ibrav = 0, nat = 3, ntyp = 3
/
ATOMIC_SPECIES
Cr 52.00 Cr.upf
Rh 102.91 Rh.upf
Pt 195.08 Pt.upf
ATOMIC_POSITIONS crystal
Cr 0.993 0.993 0.986
Rh 0.344 0.344 0.687
Pt 0.663 0.663 0.327
CELL_PARAMETERS angstrom
-0.163 1.917 1.829
-0.677 -2.522 2.584
4.409 -0.038 -1.493
! Formation energy from the elements: -245 meV per atom
! VASP energy: -41.028 eV per atom
! Density of states at the Fermi level: 0.71 states/eV/atom
! Space-group type: Imm2
! Distance to the lowest polymorph of the same formula: 18 meV per atom

=====

Entry 12:
! CrPtRh meta-GGA SCAN single point on PBEsol structure; values from VASP
&SYSTEM
  ibrav = 0, nat = 3, ntyp = 3
/
ATOMIC_SPECIES
Cr 52.00 Cr.upf
Rh 102.91 Rh.upf
Pt 195.08 Pt.upf
ATOMIC_POSITIONS crystal
Cr 0.004 0.004 0.009
Rh 0.654 0.654 0.308
Pt 0.342 0.342 0.683
CELL_PARAMETERS angstrom
-0.783 2.485 0.528
-2.469 -0.875 0.458
2.893 -1.554 4.907
! Formation energy from the elements: -263 meV per atom
! VASP energy: -41.046 eV per atom
! Density of states at the Fermi level: 0.77 states/eV/atom
! Space-group type: I4mm
! Distance to the lowest polymorph of the same formula: 0 meV per atom

=====

Entry 13:
! CrPt2Rh meta-GGA SCAN single point on PBEsol structure; values from VASP
&SYSTEM
  ibrav = 0, nat = 4, ntyp = 3
/
ATOMIC_SPECIES
Cr 52.00 Cr.upf
Pt 195.08 Pt.upf
Rh 102.91 Rh.upf
ATOMIC_POSITIONS crystal
Cr 0.000 0.500 0.740
Pt 0.500 0.000 0.987
Pt 0.000 0.500 0.257
Rh 0.500 0.000 0.515
CELL_PARAMETERS angstrom
2.676 0.000 0.000
0.000 3.746 0.000
0.000 0.000 5.473
! Formation energy from the elements: -237 meV per atom
! VASP energy: -48.373 eV per atom
! Density of states at the Fermi level: 0.83 states/eV/atom
! Space-group type: Pmm2

=====

Entry 14:
! Cr4PtRh meta-GGA SCAN single point on PBEsol structure; values from VASP
&SYSTEM
  ibrav = 0, nat = 6, ntyp = 3
/
ATOMIC_SPECIES
Cr 52.00 Cr.upf
Pt 195.08 Pt.upf
Rh 102.91 Rh.upf
ATOMIC_POSITIONS crystal
Cr 0.375 0.375 0.375
Cr 0.375 0.375 0.874
Cr 0.874 0.375 0.375
Cr 0.375 0.874 0.375
Pt 0.750 0.750 0.750
Rh 0.000 0.000 0.000
CELL_PARAMETERS angstrom
-1.947 -2.373 -3.536
0.719 -4.610 -0.403
-3.499 -2.997 0.837
! Formation energy from the elements: -91 meV per atom
! VASP energy: -29.675 eV per atom
! Density of states at the Fermi level: 0.83 states/eV/atom
! Space-group type: F-43m

=====

Entry 15:
! CrPtRh2 meta-GGA SCAN single point on PBEsol structure; values from VASP
&SYSTEM
  ibrav = 0, nat = 4, ntyp = 3
/
ATOMIC_SPECIES
Cr 52.00 Cr.upf
Pt 195.08 Pt.upf
Rh 102.91 Rh.upf
ATOMIC_POSITIONS crystal
Cr 0.502 0.507 0.004
Pt 0.755 0.255 0.509
Rh 0.999 0.992 0.997
Rh 0.245 0.745 0.490
CELL_PARAMETERS angstrom
2.675 0.000 0.000
0.000 4.605 -0.003
-1.338 -0.816 4.346
! Formation energy from the elements: -175 meV per atom
! VASP energy: -39.205 eV per atom
! Density of states at the Fermi level: 1.09 states/eV/atom
! Space-group type: Cm